(1)
A plane-wave DFT calculation with meta-GGA SCAN was carried out for a PBEsol-optimized structure of KPtN.

The value obtained for the uncorrected formation energy is -21.8 kJ per mole of atoms. The calculated total energy comes out at -29.50 eV/atom.

It has space group P4_2/mmc (No. 131), with a = 3.673 Å, b = 3.673 Å, c = 9.070 Å, α = 90.00°, β = 90.00° and γ = 90.00°. The asymmetric unit holds K at (0.000, 0.000, 0.250), Pt at (0.500, 0.500, 0.000) and N at (0.000, 0.500, 0.000).


(2)
A plane-wave DFT calculation with meta-GGA SCAN was carried out for a PBEsol-optimized structure of FeRh2W.

The calculated total energy comes out at -38.90 eV/atom. For the energy above the most stable polymorph in this dataset, the calculation gives 0.163 eV per atom. Its formation energy is -0.06 eV/atom.

It has space group R-3m (No. 166, hexagonal axes), with a = 2.7015 Å, b = 2.7015 Å, c = 25.9038 Å, α = 90.00°, β = 90.00° and γ = 120.00°. The asymmetric unit holds Fe at (0.0000, 0.0000, 0.0000), Rh at (0.0000, 0.0000, 0.2523) and W at (0.0000, 0.0000, 0.5000).